# La2NiPt

A relaxed La2NiPt crystal (GGA-PBE, the Alexandria database).

Summary:
Density of states at the Fermi level: 3.6 states/eV/f.u.
Calculated total energy: -6.076 eV/atom
Volume: 95 Å³/f.u.
Space group: P4/mmm

Cell and atoms, written as extended XYZ:
```
4
Lattice="-3.135 -1.570 0.909 2.522 -4.212 1.421 0.441 1.863 4.739" Properties=species:S:1:pos:R:3 pbc="T T T"
La 0.221 0.932 2.369
La 1.261 -2.106 0.711
Pt -0.086 -1.959 3.535
Ni -1.567 -0.785 0.455
```